Version one
DFT (PBE-GGA) results for Sm2TlFe after structural relaxation.

Summary:
Space group   P4/mmm, No. 123
Crystal system   tetragonal

Lattice parameters (Å, degrees): 3.5765 3.5765 7.8419 90.00 90.00 90.00
Last column: magnetic moment on the atom in μB.
Fractional coordinates of all 4 atoms:
Sm 0.0000 0.0000 0.2124  -0.22
Sm 0.0000 0.0000 0.7876  -0.22
Fe 0.5000 0.5000 0.0000  2.15
Tl 0.5000 0.5000 0.5000  0.03

***

Version two
DFT (PBE-GGA) results for Sm2TlFe after structural relaxation.

Summary:
Space group   R-3m, No. 166
Crystal system   trigonal

Lattice parameters (Å, degrees): 3.7408 3.7408 10.2343 79.47 79.47 60.00
Last column: magnetic moment on the atom in μB.
Fractional coordinates of all 4 atoms:
Tl 0.0000 0.0000 0.0000  0.01
Sm 0.1114 0.1114 0.6657  -0.14
Sm 0.8886 0.8886 0.3343  -0.14
Fe 0.5000 0.5000 0.5000  1.22

***

Verdict on stability: version one comes out on top.

***

Version one
DFT (PBE-GGA) results for SmTm2Fe after structural relaxation.

Summary:
Space group   R-3m, No. 166
Crystal system   trigonal

Lattice parameters (Å, degrees): 3.5185 3.5185 9.9621 79.83 79.83 60.00
Last column: magnetic moment on the atom in μB.
Fractional coordinates of all 4 atoms:
Fe 0.0000 0.0000 0.0000  1.52
Tm 0.2717 0.2717 0.1850  -0.24
Tm 0.7283 0.7283 0.8150  -0.24
Sm 0.5000 0.5000 0.5000  0.09

***

Version two
DFT (PBE-GGA) results for SmTm2Fe after structural relaxation.

Summary:
Space group   P4/mmm, No. 123
Crystal system   tetragonal

Lattice parameters (Å, degrees): 3.3262 3.3262 8.9612 90.00 90.00 90.00
Fractional coordinates of all 4 atoms:
Fe 0.5000 0.5000 0.0000
Sm 0.5000 0.5000 0.5000
Tm 0.0000 0.0000 0.1760
Tm 0.0000 0.0000 0.8240

***

Verdict on stability: version two comes out on top.

***

Version one
DFT (PBE-GGA) results for SmTmFe after structural relaxation.

Summary:
Space group   I4mm, No. 107
Crystal system   tetragonal

Lattice parameters (Å, degrees): 3.3335 3.3335 6.8612 104.06 104.06 90.00
Fractional coordinates of all 3 atoms:
Fe 0.6630 0.6630 0.3260
Sm 0.2939 0.2939 0.5879
Tm 0.0431 0.0431 0.0861

***

Version two
DFT (PBE-GGA) results for SmTmFe after structural relaxation.

Summary:
Space group   Cmce, No. 64
Crystal system   orthorhombic

Lattice parameters (Å, degrees): 6.8510 6.9122 7.2940 90.00 90.00 119.71
Last column: magnetic moment on the atom in μB.
Fractional coordinates of all 12 atoms:
Sm 0.6977 0.3954 0.8870  -0.12
Sm 0.3023 0.6046 0.1130  -0.12
Sm 0.1977 0.3954 0.6130  -0.12
Sm 0.8023 0.6046 0.3870  -0.12
Tm 0.2918 0.0835 0.2500  -0.27
Tm 0.2082 0.9165 0.7500  -0.27
Tm 0.7918 0.0835 0.2500  -0.27
Tm 0.7082 0.9165 0.7500  -0.27
Fe 0.5907 0.1815 0.5418  1.31
Fe 0.9093 0.8185 0.0418  1.31
Fe 0.4093 0.8185 0.4582  1.31
Fe 0.0907 0.1815 0.9582  1.31

***

Verdict on stability: version two comes out on top.

***

Version one
DFT (PBE-GGA) results for SmUFe4 after structural relaxation.

Summary:
Space group   C2/m, No. 12
Crystal system   monoclinic

Lattice parameters (Å, degrees): 6.4694 6.8520 5.6910 127.01 77.02 90.00
Last column: magnetic moment on the atom in μB.
Fractional coordinates of all 12 atoms:
Fe 0.0000 0.2426 0.0000  0.86
Fe 0.5749 0.8161 0.2317  1.80
Fe 0.0000 0.7574 0.0000  0.86
Fe 0.7325 0.1962 0.3923  1.00
Fe 0.4251 0.5844 0.7683  1.80
Fe 0.4251 0.1839 0.7683  1.80
Fe 0.5749 0.4156 0.2317  1.80
Fe 0.2675 0.8038 0.6077  1.00
U 0.1919 0.5836 0.1671  -1.04
U 0.8081 0.4164 0.8329  -1.04
Sm 0.2455 0.1532 0.3064  -0.17
Sm 0.7545 0.8468 0.6936  -0.17

***

Version two
DFT (PBE-GGA) results for SmUFe4 after structural relaxation.

Summary:
Space group   F-43m, No. 216
Crystal system   cubic

Lattice parameters (Å, degrees): 5.1058 5.1058 5.1058 60.00 60.00 60.00
Last column: magnetic moment on the atom in μB.
Fractional coordinates of all 6 atoms:
Fe 0.6246 0.1263 0.6246  1.99
Fe 0.6246 0.6246 0.1263  1.99
Fe 0.6246 0.6246 0.6246  1.99
Fe 0.1263 0.6246 0.6246  1.99
Sm 0.0000 0.0000 0.0000  -0.31
U 0.2500 0.2500 0.2500  -2.43

***

Verdict on stability: version one comes out on top.

***

Version one
DFT (PBE-GGA) results for Sm2YFe after structural relaxation.

Summary:
Space group   R-3m, No. 166
Crystal system   trigonal

Lattice parameters (Å, degrees): 3.5286 3.5286 10.8886 80.68 80.68 60.00
Last column: magnetic moment on the atom in μB.
Fractional coordinates of all 4 atoms:
Y 0.0000 0.0000 0.0000  -0.14
Sm 0.1077 0.1077 0.6768  -0.17
Sm 0.8923 0.8923 0.3232  -0.17
Fe 0.5000 0.5000 0.5000  1.57

***

Version two
DFT (PBE-GGA) results for Sm2YFe after structural relaxation.

Summary:
Space group   P4/mmm, No. 123
Crystal system   tetragonal

Lattice parameters (Å, degrees): 3.5376 3.5376 8.7289 90.00 90.00 90.00
Last column: magnetic moment on the atom in μB.
Fractional coordinates of all 4 atoms:
Sm 0.0000 0.0000 0.1905  -0.16
Sm 0.0000 0.0000 0.8095  -0.16
Y 0.5000 0.5000 0.5000  0.33
Fe 0.5000 0.5000 0.0000  2.13

***

Verdict on stability: version two comes out on top.

***

Version one
DFT (PBE-GGA) results for SmY2Fe after structural relaxation.

Summary:
Space group   P4/mmm, No. 123
Crystal system   tetragonal

Lattice parameters (Å, degrees): 3.3796 3.3796 9.1208 90.00 90.00 90.00
Fractional coordinates of all 4 atoms:
Sm 0.5000 0.5000 0.5000
Fe 0.5000 0.5000 0.0000
Y 0.0000 0.0000 0.8230
Y 0.0000 0.0000 0.1770

***

Version two
DFT (PBE-GGA) results for SmY2Fe after structural relaxation.

Summary:
Space group   R-3m, No. 166
Crystal system   trigonal

Lattice parameters (Å, degrees): 3.4983 3.4983 10.9214 80.78 80.78 60.00
Last column: magnetic moment on the atom in μB.
Fractional coordinates of all 4 atoms:
Sm 0.0000 0.0000 0.0000  -0.02
Y 0.1087 0.1087 0.6740  -0.22
Y 0.8913 0.8913 0.3260  -0.22
Fe 0.5000 0.5000 0.5000  1.63

***

Verdict on stability: version one comes out on top.

***

Version one
DFT (PBE-GGA) results for Sm2ZnFe after structural relaxation.

Summary:
Space group   Fm-3m, No. 225
Crystal system   cubic

Lattice parameters (Å, degrees): 5.0243 5.0243 5.0243 60.00 60.00 60.00
Last column: magnetic moment on the atom in μB.
Fractional coordinates of all 4 atoms:
Sm 0.2500 0.2500 0.2500  -0.21
Sm 0.7500 0.7500 0.7500  -0.21
Fe 0.0000 0.0000 0.0000  2.09
Zn 0.5000 0.5000 0.5000  -0.02

***

Version two
DFT (PBE-GGA) results for Sm2ZnFe after structural relaxation.

Summary:
Space group   R-3m, No. 166
Crystal system   trigonal

Lattice parameters (Å, degrees): 3.2767 3.2767 10.6039 81.11 81.11 60.00
Last column: magnetic moment on the atom in μB.
Fractional coordinates of all 4 atoms:
Sm 0.0874 0.0874 0.7378  -0.08
Sm 0.9126 0.9126 0.2622  -0.08
Fe 0.0000 0.0000 0.0000  2.70
Zn 0.5000 0.5000 0.5000  0.03

***

Version three
DFT (PBE-GGA) results for Sm2ZnFe after structural relaxation.

Summary:
Space group   P4/mmm, No. 123
Crystal system   tetragonal

Lattice parameters (Å, degrees): 3.5400 3.5400 7.2149 90.00 90.00 90.00
Last column: magnetic moment on the atom in μB.
Fractional coordinates of all 4 atoms:
Sm 0.0000 0.0000 0.2326  -0.19
Sm 0.0000 0.0000 0.7674  -0.19
Zn 0.5000 0.5000 0.5000  0.01
Fe 0.5000 0.5000 0.0000  2.11

***

Verdict on stability: version three comes out on top.

***

Version one
DFT (PBE-GGA) results for SmZr2Fe after structural relaxation.

Summary:
Space group   R-3m, No. 166
Crystal system   trigonal

Lattice parameters (Å, degrees): 3.2912 3.2912 10.1673 80.69 80.69 60.00
Last column: magnetic moment on the atom in μB.
Fractional coordinates of all 4 atoms:
Fe 0.5000 0.5000 0.5000  0.49
Sm 0.0000 0.0000 0.0000  0.00
Zr 0.1089 0.1089 0.6732  -0.09
Zr 0.8911 0.8911 0.3268  -0.09

***

Version two
DFT (PBE-GGA) results for SmZr2Fe after structural relaxation.

Summary:
Space group   P4/mmm, No. 123
Crystal system   tetragonal

Lattice parameters (Å, degrees): 3.2688 3.2688 8.2340 90.00 90.00 90.00
Last column: magnetic moment on the atom in μB.
Fractional coordinates of all 4 atoms:
Zr 0.0000 0.0000 0.1833  -0.25
Zr 0.0000 0.0000 0.8167  -0.25
Fe 0.5000 0.5000 0.0000  1.19
Sm 0.5000 0.5000 0.5000  -0.02

***

Verdict on stability: version two comes out on top.

***

Version one
DFT (PBE-GGA) results for Th3FeSn2 after structural relaxation.

Summary:
Space group   Pnma, No. 62
Crystal system   orthorhombic

Lattice parameters (Å, degrees): 4.4696 11.3507 12.8589 90.00 89.99 90.00
Fractional coordinates of all 24 atoms:
Th 0.2498 0.7279 0.2476
Th 0.2504 0.4543 0.3840
Th 0.2504 0.0457 0.8840
Th 0.7496 0.9543 0.1160
Th 0.7496 0.5457 0.6160
Th 0.2505 0.1074 0.5587
Th 0.2505 0.3926 0.0587
Th 0.7502 0.2279 0.2524
Th 0.2498 0.7721 0.7476
Th 0.7502 0.2721 0.7524
Th 0.7495 0.6074 0.9413
Th 0.7495 0.8926 0.4413
Fe 0.7497 0.8362 0.8826
Fe 0.7497 0.6638 0.3826
Fe 0.2503 0.1638 0.1174
Fe 0.2503 0.3362 0.6174
Sn 0.2496 0.7027 0.4994
Sn 0.2496 0.7973 0.9994
Sn 0.7502 0.9773 0.7050
Sn 0.2498 0.4773 0.7950
Sn 0.7504 0.2027 0.0006
Sn 0.7504 0.2973 0.5006
Sn 0.2498 0.0227 0.2950
Sn 0.7502 0.5227 0.2050

***

Version two
DFT (PBE-GGA) results for Th3FeSn2 after structural relaxation.

Summary:
Space group   C2/c, No. 15
Crystal system   monoclinic

Lattice parameters (Å, degrees): 6.2784 7.5376 8.1493 103.35 112.66 90.00
Fractional coordinates of all 12 atoms:
Sn 0.3112 0.4063 0.6251
Sn 0.6888 0.5937 0.3749
Sn 0.6861 0.0937 0.3749
Sn 0.3139 0.9063 0.6251
Th 0.8743 0.4379 0.7509
Th 0.1234 0.0621 0.2491
Th 0.1257 0.5621 0.2491
Th 0.8766 0.9379 0.7509
Th 0.4995 0.2500 0.0000
Th 0.5005 0.7500 0.0000
Fe 0.0006 0.7500 0.0000
Fe 0.9994 0.2500 0.0000

***

Verdict on stability: version one comes out on top.

***

Version one
DFT (PBE-GGA) results for Th4FeSn after structural relaxation.

Summary:
Space group   C2/m, No. 12
Crystal system   monoclinic

Lattice parameters (Å, degrees): 6.0475 7.0418 9.0554 112.88 106.50 90.00
Fractional coordinates of all 12 atoms:
Th 0.0000 0.2377 0.0000
Th 0.6145 0.3663 0.2424
Th 0.0000 0.7623 0.0000
Th 0.1746 0.6922 0.3845
Th 0.6145 0.8761 0.2424
Th 0.3855 0.1239 0.7576
Th 0.3855 0.6337 0.7576
Th 0.8254 0.3078 0.6155
Fe 0.3404 0.5357 0.0714
Fe 0.6596 0.4643 0.9286
Sn 0.2063 0.1926 0.3853
Sn 0.7937 0.8074 0.6147

***

Version two
DFT (PBE-GGA) results for Th4FeSn after structural relaxation.

Summary:
Space group   P2_1/m, No. 11
Crystal system   monoclinic

Lattice parameters (Å, degrees): 5.9992 6.7889 8.4993 90.00 101.04 90.00
Fractional coordinates of all 12 atoms:
Fe 0.6689 0.7500 0.9336
Fe 0.3311 0.2500 0.0664
Th 0.1718 0.2500 0.3629
Th 0.6207 0.9873 0.2204
Th 0.3793 0.4873 0.7796
Th 0.6207 0.5127 0.2204
Th 0.8953 0.2500 0.9484
Th 0.8282 0.7500 0.6371
Th 0.1047 0.7500 0.0516
Th 0.3793 0.0127 0.7796
Sn 0.2506 0.7500 0.4367
Sn 0.7494 0.2500 0.5633

***

Verdict on stability: version two comes out on top.

***

Version one
DFT (PBE-GGA) results for Th2FeSn after structural relaxation.

Summary:
Space group   P2/c, No. 13
Crystal system   monoclinic

Lattice parameters (Å, degrees): 6.0689 6.5255 11.3078 111.35 90.00 90.00
Fractional coordinates of all 16 atoms:
Th 0.6816 0.0433 0.8834
Th 0.3184 0.5433 0.3834
Th 0.8263 0.0471 0.3150
Th 0.6816 0.4567 0.6166
Th 0.3184 0.9567 0.1166
Th 0.8263 0.4529 0.1850
Th 0.1737 0.9529 0.6850
Th 0.1737 0.5471 0.8150
Fe 0.1728 0.0203 0.9215
Fe 0.8272 0.5203 0.4215
Fe 0.1728 0.4797 0.5785
Fe 0.8272 0.9797 0.0785
Sn 0.6863 0.5777 0.9332
Sn 0.3137 0.4223 0.0668
Sn 0.3137 0.0777 0.4332
Sn 0.6863 0.9223 0.5668

***

Version two
DFT (PBE-GGA) results for Th2FeSn after structural relaxation.

Summary:
Space group   R-3m, No. 166
Crystal system   trigonal

Lattice parameters (Å, degrees): 3.8492 3.8492 9.8848 78.77 78.77 60.00
Fractional coordinates of all 4 atoms:
Th 0.1147 0.1147 0.6559
Th 0.8853 0.8853 0.3441
Fe 0.5000 0.5000 0.5000
Sn 0.0000 0.0000 0.0000

***

Verdict on stability: version one comes out on top.

***

Version one
DFT (PBE-GGA) results for TiFeSn2 after structural relaxation.

Summary:
Space group   Fm-3m, No. 225
Crystal system   cubic

Lattice parameters (Å, degrees): 4.6651 4.6651 4.6651 60.00 60.00 60.00
Last column: magnetic moment on the atom in μB.
Fractional coordinates of all 4 atoms:
Sn 0.7500 0.7500 0.7500  -0.03
Sn 0.2500 0.2500 0.2500  -0.03
Fe 0.5000 0.5000 0.5000  1.69
Ti 0.0000 0.0000 0.0000  0.64

***

Version two
DFT (PBE-GGA) results for TiFeSn2 after structural relaxation.

Summary:
Space group   R-3m, No. 166
Crystal system   trigonal

Lattice parameters (Å, degrees): 3.1493 3.1493 8.8336 79.73 79.73 60.00
Last column: magnetic moment on the atom in μB.
Fractional coordinates of all 4 atoms:
Sn 0.7433 0.7433 0.7702  0.05
Sn 0.2567 0.2567 0.2298  0.05
Fe 0.0000 0.0000 0.0000  -1.82
Ti 0.5000 0.5000 0.5000  -0.05

***

Verdict on stability: version two comes out on top.